1.
Below is a geometry-optimized LiCa2AlPt2 structure, with properties calculated at the PBE level.

Lattice parameters (Å, degrees): 5.861 5.919 8.337 110.79 110.58 90.00
Positions (direct):
Li 0.000 0.750 0.000
Li 0.000 0.250 0.000
Ca 0.407 0.173 0.347
Ca 0.593 0.827 0.653
Ca 0.060 0.327 0.653
Ca 0.940 0.673 0.347
Al 0.500 0.750 0.000
Al 0.500 0.250 0.000
Pt 0.833 0.109 0.218
Pt 0.384 0.609 0.218
Pt 0.616 0.391 0.782
Pt 0.167 0.891 0.782

- total magnetization (μB/atom) = 0.00
- energy of formation (kJ/mol of atoms) = -83
- V (A^3/atom) = 20.880
- SG = Ibam, No. 72

2.
Below is a geometry-optimized Ac2Ga2Rh3 structure, with properties calculated at the PBE level.

Lattice parameters (Å, degrees): 3.908 6.158 7.226 113.02 90.00 108.50
Positions (direct):
Ac 0.879 0.758 0.230
Ac 0.121 0.242 0.770
Ga 0.849 0.698 0.751
Ga 0.151 0.302 0.249
Rh 0.500 0.000 0.000
Rh 0.629 0.258 0.455
Rh 0.371 0.742 0.545

- total magnetization (μB/atom) = 0.00
- energy of formation (kJ/mol of atoms) = -61
- V (A^3/atom) = 21.465
- SG = C2/m, No. 12
- relative energy among the computed polymorphs (meV per atom) = 61

3.
Below is a geometry-optimized YCoCu2 structure, with properties calculated at the PBE level.

Lattice parameters (Å, degrees): 4.451 4.451 4.451 60.00 60.00 60.00
Positions (direct):
Co 0.500 0.500 0.500
Cu 0.000 0.000 0.000
Cu 0.250 0.250 0.250
Y 0.750 0.750 0.750

- total magnetization (μB/atom) = 0.00
- energy of formation (kJ/mol of atoms) = 8
- V (A^3/atom) = 15.585
- SG = F-43m, No. 216
- relative energy among the computed polymorphs (meV per atom) = 148

Question: The lowest energy of formation belongs to which entry?
Answer: LiCa2AlPt2